Ca2SnHgRh | PBE | relaxed

```
data_Ca2SnHgRh
_chemical_formula_sum 'Ca2 Sn1 Hg1 Rh1'
_cell_length_a 5.4844
_cell_length_b 5.4844
_cell_length_c 5.0263
_cell_angle_alpha 90.00
_cell_angle_beta 90.00
_cell_angle_gamma 90.00
_space_group_name_H-M_alt 'P 4/m m m'
_space_group_IT_number 123
_space_group_name_Hall '-P 4 2'
loop_
_atom_site_label
_atom_site_fract_x
_atom_site_fract_y
_atom_site_fract_z
Ca1 0.0000 0.5000 0.0000
Sn1 0.0000 0.0000 0.5000
Hg1 0.5000 0.5000 0.5000
Rh1 0.0000 0.0000 0.0000
```

Summary:
The formation energy comes out at -0.43 eV/atom.

---

SrCaHgRh | PBE | relaxed

```
data_SrCaHgRh
_chemical_formula_sum 'Sr4 Ca4 Hg4 Rh4'
_cell_length_a 7.4190
_cell_length_b 7.4190
_cell_length_c 7.4190
_cell_angle_alpha 90.00
_cell_angle_beta 90.00
_cell_angle_gamma 90.00
_space_group_name_H-M_alt 'F -4 3 m'
_space_group_IT_number 216
_space_group_name_Hall 'F -4 2 3'
loop_
_atom_site_label
_atom_site_fract_x
_atom_site_fract_y
_atom_site_fract_z
Sr1 0.0000 0.0000 0.0000
Ca1 0.0000 0.0000 0.5000
Hg1 0.2500 0.2500 0.7500
Rh1 0.2500 0.2500 0.2500
```

Summary:
The formation energy comes out at -0.32 eV/atom.

---

Sr2CaHgRh | PBE | relaxed

```
data_Sr2CaHgRh
_chemical_formula_sum 'Sr2 Ca1 Hg1 Rh1'
_cell_length_a 6.5531
_cell_length_b 6.5531
_cell_length_c 4.7363
_cell_angle_alpha 90.00
_cell_angle_beta 90.00
_cell_angle_gamma 90.00
_space_group_name_H-M_alt 'P 4/m m m'
_space_group_IT_number 123
_space_group_name_Hall '-P 4 2'
loop_
_atom_site_label
_atom_site_fract_x
_atom_site_fract_y
_atom_site_fract_z
Sr1 0.0000 0.5000 0.0000
Ca1 0.0000 0.0000 0.0000
Hg1 0.5000 0.5000 0.5000
Rh1 0.0000 0.0000 0.5000
```

Summary:
The formation energy comes out at 0.46 eV/atom.

---

Sr2CaHgRh | PBE | relaxed

```
data_Sr2CaHgRh
_chemical_formula_sum 'Sr2 Ca1 Hg1 Rh1'
_cell_length_a 5.8061
_cell_length_b 5.8061
_cell_length_c 5.4276
_cell_angle_alpha 90.00
_cell_angle_beta 90.00
_cell_angle_gamma 90.00
_space_group_name_H-M_alt 'P 4/m m m'
_space_group_IT_number 123
_space_group_name_Hall '-P 4 2'
loop_
_atom_site_label
_atom_site_fract_x
_atom_site_fract_y
_atom_site_fract_z
Sr1 0.0000 0.5000 0.0000
Ca1 0.0000 0.0000 0.5000
Hg1 0.5000 0.5000 0.5000
Rh1 0.0000 0.0000 0.0000
```

Summary:
The formation energy comes out at -0.26 eV/atom.

---

Sr2Ca6HgRh | PBE | relaxed

```
data_Sr2Ca6HgRh
_chemical_formula_sum 'Sr8 Ca24 Hg4 Rh4'
_cell_length_a 11.6894
_cell_length_b 11.6894
_cell_length_c 11.6894
_cell_angle_alpha 90.00
_cell_angle_beta 90.00
_cell_angle_gamma 90.00
_space_group_name_H-M_alt 'F m -3 m'
_space_group_IT_number 225
_space_group_name_Hall '-F 4 2 3'
loop_
_atom_site_label
_atom_site_fract_x
_atom_site_fract_y
_atom_site_fract_z
Sr1 0.2500 0.2500 0.2500
Ca1 0.0000 0.0000 0.2373
Hg1 0.0000 0.0000 0.5000
Rh1 0.0000 0.0000 0.0000
```

Summary:
The formation energy comes out at -0.21 eV/atom.

---

CaTbHgRh | PBE | relaxed

```
data_CaTbHgRh
_chemical_formula_sum 'Ca1 Tb1 Hg1 Rh1'
_cell_length_a 3.5785
_cell_length_b 3.5785
_cell_length_c 7.3595
_cell_angle_alpha 90.00
_cell_angle_beta 90.00
_cell_angle_gamma 90.00
_space_group_name_H-M_alt 'P 4 m m'
_space_group_IT_number 99
loop_
_space_group_symop_operation_xyz
'x,y,z'
'-y,x,z'
'-x,-y,z'
'y,-x,z'
'-x,y,z'
'y,x,z'
'x,-y,z'
'-y,-x,z'
loop_
_atom_site_label
_atom_site_fract_x
_atom_site_fract_y
_atom_site_fract_z
Ca1 0.0000 0.0000 0.0000
Tb1 0.0000 0.0000 0.5494
Hg1 0.5000 0.5000 0.2778
Rh1 0.5000 0.5000 0.7402
```

Summary:
The formation energy comes out at -0.59 eV/atom.

---

CaTbHgRh | PBE | relaxed

```
data_CaTbHgRh
_chemical_formula_sum 'Ca4 Tb4 Hg4 Rh4'
_cell_length_a 7.1732
_cell_length_b 7.1732
_cell_length_c 7.1732
_cell_angle_alpha 90.00
_cell_angle_beta 90.00
_cell_angle_gamma 90.00
_space_group_name_H-M_alt 'F -4 3 m'
_space_group_IT_number 216
_space_group_name_Hall 'F -4 2 3'
loop_
_atom_site_label
_atom_site_fract_x
_atom_site_fract_y
_atom_site_fract_z
Ca1 0.0000 0.0000 0.0000
Tb1 0.0000 0.0000 0.5000
Hg1 0.2500 0.2500 0.2500
Rh1 0.2500 0.2500 0.7500
```

Summary:
The formation energy comes out at -0.50 eV/atom.

---

CaTl2HgRh | PBE | relaxed

```
data_CaTl2HgRh
_chemical_formula_sum 'Ca1 Tl2 Hg1 Rh1'
_cell_length_a 5.2738
_cell_length_b 5.2738
_cell_length_c 5.4123
_cell_angle_alpha 90.00
_cell_angle_beta 90.00
_cell_angle_gamma 90.00
_space_group_name_H-M_alt 'P 4/m m m'
_space_group_IT_number 123
_space_group_name_Hall '-P 4 2'
loop_
_atom_site_label
_atom_site_fract_x
_atom_site_fract_y
_atom_site_fract_z
Ca1 0.0000 0.0000 0.0000
Tl1 0.0000 0.5000 0.5000
Hg1 0.5000 0.5000 0.0000
Rh1 0.0000 0.0000 0.5000
```

Summary:
The formation energy comes out at -0.20 eV/atom.

---

CaTmHgRh | PBE | relaxed

```
data_CaTmHgRh
_chemical_formula_sum 'Ca4 Tm4 Hg4 Rh4'
_cell_length_a 7.1017
_cell_length_b 7.1017
_cell_length_c 7.1017
_cell_angle_alpha 90.00
_cell_angle_beta 90.00
_cell_angle_gamma 90.00
_space_group_name_H-M_alt 'F -4 3 m'
_space_group_IT_number 216
_space_group_name_Hall 'F -4 2 3'
loop_
_atom_site_label
_atom_site_fract_x
_atom_site_fract_y
_atom_site_fract_z
Ca1 0.0000 0.0000 0.0000
Tm1 0.0000 0.0000 0.5000
Hg1 0.2500 0.2500 0.7500
Rh1 0.2500 0.2500 0.2500
```

Summary:
The formation energy comes out at -0.51 eV/atom.

---

CaHg2Ru2 | PBE | relaxed

```
data_CaHg2Ru2
_chemical_formula_sum 'Ca2 Hg4 Ru4'
_cell_length_a 7.8643
_cell_length_b 7.8643
_cell_length_c 3.2249
_cell_angle_alpha 90.00
_cell_angle_beta 90.00
_cell_angle_gamma 90.00
_space_group_name_H-M_alt 'P 4/m b m'
_space_group_IT_number 127
_space_group_name_Hall '-P 4 2ab'
loop_
_atom_site_label
_atom_site_fract_x
_atom_site_fract_y
_atom_site_fract_z
Ca1 0.0000 0.0000 0.0000
Hg1 0.1845 0.3155 0.5000
Ru1 0.1089 0.6089 0.0000
```

Summary:
The formation energy comes out at 0.29 eV/atom.

---

no.,total DFT energy (no corrections) (eV per atom)
1,-3.565
2,-3.155
3,-2.146
4,-2.860
5,-2.517
6,-4.165
7,-4.076
8,-3.074
9,-4.044
10,-3.945